Density functional theory data (PBE) for a relaxed structure of Sm5Bi.

a b c (Å): 4.9878 4.9542 8.1197
angles (deg): 107.76 90.00 90.00
Last column: nearest neighbours and their distance in Å.
Fractional positions:
Sm: 0.0000 0.3374 0.6748  10 Sm 3.52-3.67, 2 Bi 3.53
Sm: 0.5000 0.5000 0.0000  4 Bi 3.52, 8 Sm 3.54-3.57
Sm: 0.0000 0.6626 0.3252  10 Sm 3.52-3.67, 2 Bi 3.53
Sm: 0.5000 0.8340 0.6681  10 Sm 3.52-3.64, 2 Bi 3.58
Sm: 0.5000 0.1660 0.3319  10 Sm 3.52-3.64, 2 Bi 3.58
Bi: 0.0000 0.0000 0.0000  12 Sm 3.52-3.58

Calculated values
Calculated formation energy   -0.2474 eV/atom
V   191 Å³/cell
D(E_F)   6.82 states/eV per cell
Total energy   -4.8268 eV per atom